[1]
Mg2AlHg | Alexandria | PBE | optimized geometry; M_tot = 0.00 μB per cell; DOS(E_F) = 0.534 states/eV/atom; energy relative to the lowest polymorph listed for this composition = 0.036 eV/atom; E = -1.86 eV/atom
1.0
6.903 0.000 0.000
0.000 6.903 0.000
0.000 0.000 6.903
Mg Al Hg
8 4 4
direct
0.250 0.250 0.250
0.250 0.250 0.750
0.250 0.750 0.250
0.250 0.750 0.750
0.750 0.250 0.250
0.750 0.250 0.750
0.750 0.750 0.250
0.750 0.750 0.750
0.000 0.000 0.000
0.000 0.500 0.500
0.500 0.000 0.500
0.500 0.500 0.000
0.000 0.000 0.500
0.000 0.500 0.000
0.500 0.000 0.000
0.500 0.500 0.500

***

[2]
Mg4AlHg5 | Alexandria | PBE | optimized geometry; M_tot = 0.00 μB per cell; DOS(E_F) = 0.269 states/eV/atom; E = -1.30 eV/atom
1.0
3.546 0.000 0.000
0.000 3.546 0.000
0.000 0.000 16.882
Mg Al Hg
4 1 5
direct
0.000 0.000 0.101
0.000 0.000 0.302
0.000 0.000 0.698
0.000 0.000 0.899
0.000 0.000 0.500
0.500 0.500 0.000
0.500 0.500 0.202
0.500 0.500 0.402
0.500 0.500 0.598
0.500 0.500 0.798

***

[3]
Mg4AlHg | Alexandria | PBE | optimized geometry; M_tot = 0.00 μB per cell; DOS(E_F) = 0.375 states/eV/atom; energy relative to the lowest polymorph listed for this composition = 0.000 eV/atom; E = -1.82 eV/atom
1.0
8.071 0.000 0.000
0.000 3.361 0.000
0.000 0.000 18.862
Mg Al Hg
16 4 4
direct
0.042 0.250 0.067
0.057 0.250 0.796
0.114 0.250 0.332
0.117 0.250 0.561
0.383 0.750 0.061
0.386 0.750 0.832
0.443 0.750 0.296
0.458 0.750 0.567
0.542 0.250 0.433
0.557 0.250 0.704
0.614 0.250 0.168
0.617 0.250 0.939
0.883 0.750 0.439
0.886 0.750 0.668
0.943 0.750 0.204
0.958 0.750 0.933
0.249 0.750 0.443
0.251 0.250 0.943
0.749 0.750 0.057
0.751 0.250 0.557
0.242 0.750 0.689
0.258 0.250 0.189
0.742 0.750 0.811
0.758 0.250 0.311